No. 1
Density functional theory data (GGA-PBE) for a geometry-optimized CsCu3F structure.

Cell: 5.575 5.575 5.575 Å, 90.00 90.00 90.00°
Space group Pm-3m (No. 221)
Unique sites:
Cs 0.000 0.000 0.000
Cu 0.000 0.000 0.500
F 0.500 0.500 0.500

Values from the calculation:
formation energy (no corrections)	1444	meV per atom

=====

No. 2
Density functional theory data (GGA-PBE) for a geometry-optimized TbSm2P structure.

Cell: 3.8586 3.8586 28.5694 Å, 90.00 90.00 120.00°
Space group R-3m (No. 166, hexagonal axes)
Unique sites:
Tb 0.0000 0.0000 0.0000
Sm 0.0000 0.0000 0.2260
P 0.0000 0.0000 0.5000

Values from the calculation:
final energy	-66.20	eV/cell

=====

No. 3
Density functional theory data (GGA-PBE) for a geometry-optimized ZnCoNi4 structure.

Cell: 6.588 6.588 6.588 Å, 90.00 90.00 90.00°
Space group F-43m (No. 216)
Unique sites:
Zn 0.000 0.000 0.000
Co 0.250 0.250 0.250
Ni 0.125 0.125 0.625

Values from the calculation:
final energy	-122.75	eV/cell

=====

no.,total magnetization (μB per formula unit)
1,0.0
2,0.0
3,3.6